(1)
Compound: TaMo2
Source: Alexandria via LeMat-Bulk
Functional: SCAN
Structure: PBEsol geometry

Geometry as CIF:
```
data_TaMo2
_cell_length_a 2.763
_cell_length_b 4.480
_cell_length_c 7.737
_cell_angle_alpha 90.00
_cell_angle_beta 90.35
_cell_angle_gamma 90.00
_space_group_name_H-M_alt 'P 1'
_space_group_IT_number 1
_space_group_name_Hall 'P 1'
loop_
_atom_site_label
_atom_site_type_symbol
_atom_site_fract_x
_atom_site_fract_y
_atom_site_fract_z
Mo1 Mo 0.000 0.250 0.256
Mo2 Mo 0.670 0.750 0.420
Mo3 Mo 0.330 0.250 0.580
Mo4 Mo 0.000 0.750 0.744
Ta1 Ta 0.675 0.250 0.912
Ta2 Ta 0.325 0.750 0.088
```

Properties
The space-group type is P2_1/m. The energy of formation from the pure elements is -0.103 eV per atom. The density of states at the Fermi level is 3.0 states/eV/cell.

(2)
Compound: Ta3Mo
Source: Alexandria via LeMat-Bulk
Functional: SCAN
Structure: PBEsol geometry

Geometry as CIF:
```
data_Ta3Mo
_cell_length_a 3.231
_cell_length_b 4.565
_cell_length_c 9.614
_cell_angle_alpha 103.74
_cell_angle_beta 99.67
_cell_angle_gamma 90.00
_space_group_name_H-M_alt 'P 1'
_space_group_IT_number 1
_space_group_name_Hall 'P 1'
loop_
_atom_site_label
_atom_site_type_symbol
_atom_site_fract_x
_atom_site_fract_y
_atom_site_fract_z
Mo1 Mo 0.809 0.559 0.619
Mo2 Mo 0.191 0.441 0.381
Ta1 Ta 0.567 0.317 0.134
Ta2 Ta 0.939 0.189 0.879
Ta3 Ta 0.313 0.063 0.626
Ta4 Ta 0.687 0.937 0.374
Ta5 Ta 0.061 0.811 0.121
Ta6 Ta 0.433 0.683 0.866
```

Properties
The space-group type is Imma. The energy of formation from the pure elements is -0.080 eV per atom. Its distance to the lowest polymorph of the same formula is 0.041 eV/atom. The density of states at the Fermi level is 8.2 states/eV/cell.

(3)
Compound: TaMo2
Source: Alexandria via LeMat-Bulk
Functional: SCAN
Structure: PBEsol geometry

Geometry as CIF:
```
data_TaMo2
_cell_length_a 3.165
_cell_length_b 5.276
_cell_length_c 6.353
_cell_angle_alpha 108.03
_cell_angle_beta 90.00
_cell_angle_gamma 107.45
_space_group_name_H-M_alt 'P 1'
_space_group_IT_number 1
_space_group_name_Hall 'P 1'
loop_
_atom_site_label
_atom_site_type_symbol
_atom_site_fract_x
_atom_site_fract_y
_atom_site_fract_z
Mo1 Mo 0.500 0.000 0.744
Mo2 Mo 0.165 0.330 0.580
Mo3 Mo 0.835 0.670 0.420
Mo4 Mo 0.500 0.000 0.256
Ta1 Ta 0.164 0.329 0.087
Ta2 Ta 0.836 0.671 0.913
```

Properties
The space-group type is C2/m. The energy of formation from the pure elements is -0.147 eV per atom. The density of states at the Fermi level is 2.4 states/eV/cell.

(4)
Compound: TaMo7
Source: Alexandria via LeMat-Bulk
Functional: SCAN
Structure: PBEsol geometry

Geometry as CIF:
```
data_TaMo7
_cell_length_a 4.445
_cell_length_b 5.210
_cell_length_c 5.447
_cell_angle_alpha 100.07
_cell_angle_beta 90.00
_cell_angle_gamma 90.00
_space_group_name_H-M_alt 'P 1'
_space_group_IT_number 1
_space_group_name_Hall 'P 1'
loop_
_atom_site_label
_atom_site_type_symbol
_atom_site_fract_x
_atom_site_fract_y
_atom_site_fract_z
Mo1 Mo 0.000 0.253 0.374
Mo2 Mo 0.500 0.497 0.248
Mo3 Mo 0.000 0.751 0.126
Mo4 Mo 0.500 0.000 0.000
Mo5 Mo 0.000 0.249 0.874
Mo6 Mo 0.500 0.503 0.752
Mo7 Mo 0.000 0.747 0.626
Ta1 Ta 0.500 0.000 0.500
```

Properties
The space-group type is P2/m. The energy of formation from the pure elements is -0.069 eV per atom. Its distance to the lowest polymorph of the same formula is 0.005 eV/atom. The density of states at the Fermi level is 3.8 states/eV/cell.

(5)
Compound: Ta3Mo2
Source: Alexandria via LeMat-Bulk
Functional: SCAN
Structure: PBEsol geometry

Geometry as CIF:
```
data_Ta3Mo2
_cell_length_a 3.190
_cell_length_b 3.190
_cell_length_c 8.454
_cell_angle_alpha 100.88
_cell_angle_beta 100.88
_cell_angle_gamma 90.00
_space_group_name_H-M_alt 'P 1'
_space_group_IT_number 1
_space_group_name_Hall 'P 1'
loop_
_atom_site_label
_atom_site_type_symbol
_atom_site_fract_x
_atom_site_fract_y
_atom_site_fract_z
Mo1 Mo 0.703 0.703 0.407
Mo2 Mo 0.297 0.297 0.593
Ta1 Ta 0.896 0.896 0.791
Ta2 Ta 0.500 0.500 0.000
Ta3 Ta 0.104 0.104 0.209
```

Properties
The space-group type is I4/mmm. The energy of formation from the pure elements is -0.109 eV per atom. Its distance to the lowest polymorph of the same formula is 0.044 eV/atom. The density of states at the Fermi level is 4.3 states/eV/cell.

(6)
Compound: Ta3Mo
Source: Alexandria via LeMat-Bulk
Functional: SCAN
Structure: PBEsol geometry

Geometry as CIF:
```
data_Ta3Mo
_cell_length_a 4.582
_cell_length_b 4.582
_cell_length_c 7.220
_cell_angle_alpha 108.50
_cell_angle_beta 108.50
_cell_angle_gamma 90.00
_space_group_name_H-M_alt 'P 1'
_space_group_IT_number 1
_space_group_name_Hall 'P 1'
loop_
_atom_site_label
_atom_site_type_symbol
_atom_site_fract_x
_atom_site_fract_y
_atom_site_fract_z
Mo1 Mo 0.873 0.873 0.746
Mo2 Mo 0.127 0.127 0.254
Ta1 Ta 0.500 0.000 0.000
Ta2 Ta 0.750 0.250 0.500
Ta3 Ta 0.377 0.377 0.755
Ta4 Ta 0.000 0.500 0.000
Ta5 Ta 0.623 0.623 0.245
Ta6 Ta 0.250 0.750 0.500
```

Properties
The space-group type is I4/mmm. The energy of formation from the pure elements is -0.088 eV per atom. Its distance to the lowest polymorph of the same formula is 0.033 eV/atom. The density of states at the Fermi level is 8.4 states/eV/cell.

(7)
Compound: Ta2Mo5
Source: Alexandria via LeMat-Bulk
Functional: SCAN
Structure: PBEsol geometry

Geometry as CIF:
```
data_Ta2Mo5
_cell_length_a 2.759
_cell_length_b 2.759
_cell_length_c 15.618
_cell_angle_alpha 93.35
_cell_angle_beta 93.35
_cell_angle_gamma 109.80
_space_group_name_H-M_alt 'P 1'
_space_group_IT_number 1
_space_group_name_Hall 'P 1'
loop_
_atom_site_label
_atom_site_type_symbol
_atom_site_fract_x
_atom_site_fract_y
_atom_site_fract_z
Mo1 Mo 0.646 0.646 0.291
Mo2 Mo 0.215 0.215 0.430
Mo3 Mo 0.785 0.785 0.570
Mo4 Mo 0.354 0.354 0.709
Mo5 Mo 0.500 0.500 0.000
Ta1 Ta 0.927 0.927 0.854
Ta2 Ta 0.073 0.073 0.146
```

Properties
The space-group type is Fmmm. The energy of formation from the pure elements is -0.078 eV per atom. Its distance to the lowest polymorph of the same formula is 0.039 eV/atom. The density of states at the Fermi level is 3.5 states/eV/cell.

(8)
Compound: TaMo2
Source: Alexandria via LeMat-Bulk
Functional: SCAN
Structure: PBEsol geometry

Geometry as CIF:
```
data_TaMo2
_cell_length_a 3.173
_cell_length_b 4.468
_cell_length_c 6.941
_cell_angle_alpha 90.00
_cell_angle_beta 103.21
_cell_angle_gamma 90.00
_space_group_name_H-M_alt 'P 1'
_space_group_IT_number 1
_space_group_name_Hall 'P 1'
loop_
_atom_site_label
_atom_site_type_symbol
_atom_site_fract_x
_atom_site_fract_y
_atom_site_fract_z
Mo1 Mo 0.667 0.000 0.334
Mo2 Mo 0.000 0.000 0.000
Mo3 Mo 0.333 0.000 0.666
Mo4 Mo 0.500 0.500 0.000
Ta1 Ta 0.163 0.500 0.326
Ta2 Ta 0.837 0.500 0.674
```

Properties
The space-group type is Cmmm. The energy of formation from the pure elements is -0.142 eV per atom. The density of states at the Fermi level is 2.8 states/eV/cell.

(9)
Compound: TaMo4
Source: Alexandria via LeMat-Bulk
Functional: SCAN
Structure: PBEsol geometry

Geometry as CIF:
```
data_TaMo4
_cell_length_a 3.148
_cell_length_b 3.148
_cell_length_c 8.221
_cell_angle_alpha 101.04
_cell_angle_beta 101.04
_cell_angle_gamma 90.00
_space_group_name_H-M_alt 'P 1'
_space_group_IT_number 1
_space_group_name_Hall 'P 1'
loop_
_atom_site_label
_atom_site_type_symbol
_atom_site_fract_x
_atom_site_fract_y
_atom_site_fract_z
Mo1 Mo 0.103 0.103 0.207
Mo2 Mo 0.700 0.700 0.399
Mo3 Mo 0.300 0.300 0.601
Mo4 Mo 0.897 0.897 0.793
Ta1 Ta 0.500 0.500 0.000
```

Properties
The space-group type is I4/mmm. The energy of formation from the pure elements is -0.118 eV per atom. Its distance to the lowest polymorph of the same formula is 0.000 eV/atom. The density of states at the Fermi level is 1.9 states/eV/cell.

(10)
Compound: Ta2Mo
Source: Alexandria via LeMat-Bulk
Functional: SCAN
Structure: PBEsol geometry

Geometry as CIF:
```
data_Ta2Mo
_cell_length_a 5.153
_cell_length_b 5.229
_cell_length_c 5.229
_cell_angle_alpha 75.95
_cell_angle_beta 60.48
_cell_angle_gamma 60.48
_space_group_name_H-M_alt 'P 1'
_space_group_IT_number 1
_space_group_name_Hall 'P 1'
loop_
_atom_site_label
_atom_site_type_symbol
_atom_site_fract_x
_atom_site_fract_y
_atom_site_fract_z
Mo1 Mo 0.750 0.000 0.000
Mo2 Mo 0.250 0.000 0.000
Ta1 Ta 0.657 0.500 0.186
Ta2 Ta 0.157 0.186 0.500
Ta3 Ta 0.843 0.814 0.500
Ta4 Ta 0.343 0.500 0.814
```

Properties
The space-group type is I4/mcm. The energy of formation from the pure elements is 0.385 eV per atom. Its distance to the lowest polymorph of the same formula is 0.551 eV/atom. The density of states at the Fermi level is 6.8 states/eV/cell.

(11)
Compound: Ta3Mo5
Source: Alexandria via LeMat-Bulk
Functional: SCAN
Structure: PBEsol geometry

Geometry as CIF:
```
data_Ta3Mo5
_cell_length_a 4.492
_cell_length_b 5.268
_cell_length_c 6.367
_cell_angle_alpha 107.77
_cell_angle_beta 90.00
_cell_angle_gamma 115.24
_space_group_name_H-M_alt 'P 1'
_space_group_IT_number 1
_space_group_name_Hall 'P 1'
loop_
_atom_site_label
_atom_site_type_symbol
_atom_site_fract_x
_atom_site_fract_y
_atom_site_fract_z
Mo1 Mo 0.998 0.996 0.003
Mo2 Mo 0.750 0.500 0.128
Mo3 Mo 0.501 0.003 0.249
Mo4 Mo 0.250 0.501 0.373
Mo5 Mo 0.750 0.500 0.623
Ta1 Ta 0.997 0.994 0.492
Ta2 Ta 0.504 0.007 0.753
Ta3 Ta 0.249 0.499 0.879
```

Properties
The space-group type is Cm. The energy of formation from the pure elements is -0.137 eV per atom. Its distance to the lowest polymorph of the same formula is 0.047 eV/atom. The density of states at the Fermi level is 3.9 states/eV/cell.

(12)
Compound: Ta2Mo
Source: Alexandria via LeMat-Bulk
Functional: SCAN
Structure: PBEsol geometry

Geometry as CIF:
```
data_Ta2Mo
_cell_length_a 3.213
_cell_length_b 4.565
_cell_length_c 7.211
_cell_angle_alpha 108.45
_cell_angle_beta 90.00
_cell_angle_gamma 90.00
_space_group_name_H-M_alt 'P 1'
_space_group_IT_number 1
_space_group_name_Hall 'P 1'
loop_
_atom_site_label
_atom_site_type_symbol
_atom_site_fract_x
_atom_site_fract_y
_atom_site_fract_z
Mo1 Mo 0.000 0.165 0.331
Mo2 Mo 0.000 0.835 0.669
Ta1 Ta 0.500 0.000 0.000
Ta2 Ta 0.500 0.671 0.342
Ta3 Ta 0.000 0.500 0.000
Ta4 Ta 0.500 0.329 0.658
```

Properties
The space-group type is Cmmm. The energy of formation from the pure elements is -0.134 eV per atom. Its distance to the lowest polymorph of the same formula is 0.032 eV/atom. The density of states at the Fermi level is 5.7 states/eV/cell.